Below is a PBEsol-optimized structure of KOsSe2, with properties calculated at the SCAN level.

The uncorrected formation energy comes out at 0.1541 eV/atom. Its crystal system is tetragonal. The calculated volume is 87 Å³/f.u.

The structure belongs to space group P4mm (No. 99); the cell edges are 3.040, 3.040 and 9.376 Å and the angles 90.00°, 90.00° and 90.00°. The inequivalent atoms are K at (0.000, 0.000, 0.000), Os at (0.500, 0.500, 0.294), Se at (0.000, 0.000, 0.420) and Se at (0.500, 0.500, 0.740).

=====

Below is a PBEsol-optimized structure of KOs2Se, with properties calculated at the SCAN level.

The uncorrected formation energy comes out at 1.0055 eV/atom. Its crystal system is orthorhombic. The calculated volume is 80 Å³/f.u.

The structure belongs to space group Imm2 (No. 44); the cell edges are 2.787, 5.625 and 10.236 Å and the angles 90.00°, 90.00° and 90.00°. The inequivalent atoms are K at (0.000, 0.000, 0.000), Os at (0.000, 0.000, 0.519), Os at (0.000, 0.500, 0.818) and Se at (0.000, 0.500, 0.218).

=====

Below is a PBEsol-optimized structure of KOsSe, with properties calculated at the SCAN level.

The uncorrected formation energy comes out at 0.2988 eV/atom. Its crystal system is tetragonal. The calculated volume is 63 Å³/f.u.

The structure belongs to space group I4mm (No. 107); the cell edges are 3.177, 3.177 and 12.489 Å and the angles 90.00°, 90.00° and 90.00°. The inequivalent atoms are K at (0.000, 0.000, 0.000), Os at (0.000, 0.000, 0.710) and Se at (0.000, 0.000, 0.295).

=====

Below is a PBEsol-optimized structure of K3OsSe, with properties calculated at the SCAN level.

The uncorrected formation energy comes out at 0.4937 eV/atom. Its crystal system is cubic. The calculated volume is 227 Å³/f.u.

The structure belongs to space group Pm-3m (No. 221); the cell edges are 6.102, 6.102 and 6.102 Å and the angles 90.00°, 90.00° and 90.00°. The inequivalent atoms are K at (0.000, 0.000, 0.500), Os at (0.500, 0.500, 0.500) and Se at (0.000, 0.000, 0.000).

=====

Calculated energy in order - -119.7; -168.1; -99.4; -114.5 eV per formula unit